Crystalline TaRe4Se at its relaxed geometry, computed with PBE.

The total energy comes out at -0.75652 Ry per atom. The density comes out at 16.49 g cm⁻³. For the magnetic moment, the calculation gives 0.002 μB per formula unit.

It has space group F-43m (No. 216), with a = 7.397 Å, b = 7.397 Å, c = 7.397 Å, α = 90.00°, β = 90.00° and γ = 90.00°. The asymmetric unit holds Ta at (0.000, 0.000, 0.000), Re at (0.125, 0.125, 0.625) and Se at (0.250, 0.250, 0.250).